# 1
Density functional theory data (GGA-PBE) for crystalline CoTc3Ni at its relaxed geometry.

Values from the calculation:
Calculated density, g/cm3: 8.337
V, A^3/atom: 16.4
Polymorph energy (0 for the lowest one), eV/f.u.: 0.00
Magnetization, μB/atom: 0.000
Energy of formation, eV per atom: 1.487

a b c (Å): 4.3443 4.3443 4.3443
angles (deg): 90.00 90.00 90.00
Closest atoms and distances in Å follow each position.
Positions (direct):
Co: 0.0000 0.0000 0.0000  6 Tc 2.17
Tc: 0.0000 0.0000 0.5000  2 Co 2.17
Tc: 0.0000 0.5000 0.0000  2 Co 2.17
Tc: 0.5000 0.0000 0.0000  2 Co 2.17
Ni: 0.5000 0.5000 0.5000  12 Tc 3.07

# 2
Density functional theory data (GGA-PBE) for crystalline Sr2MgAg2 at its relaxed geometry.

Values from the calculation:
Calculated density, g/cm3: 4.273
V, A^3/atom: 32.3
Polymorph energy (0 for the lowest one), eV/f.u.: 1.26
Magnetization, μB/atom: 0.000
Energy of formation, eV per atom: -0.018

a b c (Å): 9.1071 9.1071 3.8913
angles (deg): 90.00 90.00 90.00
Closest atoms and distances in Å follow each position.
Positions (direct):
Sr: 0.1650 0.3350 0.0000  6 Ag 3.29-3.35, 2 Mg 3.40
Sr: 0.3350 0.8350 0.0000  6 Ag 3.29-3.35, 2 Mg 3.40
Sr: 0.6650 0.1650 0.0000  6 Ag 3.29-3.35, 2 Mg 3.40
Sr: 0.8350 0.6650 0.0000  6 Ag 3.29-3.35, 2 Mg 3.40
Mg: 0.0000 0.0000 0.0000  4 Sr 3.40
Mg: 0.5000 0.5000 0.0000  4 Sr 3.40
Ag: 0.1228 0.6228 0.5000  1 Ag 3.16, 6 Sr 3.29-3.35
Ag: 0.3772 0.1228 0.5000  1 Ag 3.16, 6 Sr 3.29-3.35
Ag: 0.6228 0.8772 0.5000  1 Ag 3.16, 6 Sr 3.29-3.35
Ag: 0.8772 0.3772 0.5000  1 Ag 3.16, 6 Sr 3.29-3.35

# 3
Density functional theory data (GGA-PBE) for crystalline MgFe2Re2 at its relaxed geometry.

Values from the calculation:
Calculated density, g/cm3: 11.797
V, A^3/atom: 14.3
Polymorph energy (0 for the lowest one), eV/f.u.: 0.19
Magnetization, μB/atom: 0.005
Energy of formation, eV per atom: 0.229

a b c (Å): 7.3675 7.3675 2.6368
angles (deg): 90.00 90.00 90.00
Closest atoms and distances in Å follow each position.
Positions (direct):
Mg: 0.0000 0.0000 0.0000  2 Mg 2.64, 4 Re 2.92
Mg: 0.5000 0.5000 0.0000  2 Mg 2.64, 4 Re 2.92
Fe: 0.1670 0.3330 0.5000  6 Re 2.54, 2 Fe 2.64
Fe: 0.3330 0.8330 0.5000  6 Re 2.54, 2 Fe 2.64
Fe: 0.6670 0.1670 0.5000  6 Re 2.54, 2 Fe 2.64
Fe: 0.8330 0.6670 0.5000  6 Re 2.54, 2 Fe 2.64
Re: 0.1242 0.6242 0.0000  6 Fe 2.54, 3 Re 2.59-2.64
Re: 0.3758 0.1242 0.0000  6 Fe 2.54, 3 Re 2.59-2.64
Re: 0.6242 0.8758 0.0000  6 Fe 2.54, 3 Re 2.59-2.64
Re: 0.8758 0.3758 0.0000  6 Fe 2.54, 3 Re 2.59-2.64

# 4
Density functional theory data (GGA-PBE) for crystalline TeAu2NCl at its relaxed geometry.

Values from the calculation:
Calculated density, g/cm3: 8.157
Formation energy from raw total energies, eV/f.u.: 4.47
V, A^3/atom: 23.2
Polymorph energy (0 for the lowest one), eV/f.u.: 0.79
Magnetization, μB/atom: 0.190

a b c (Å): 5.3295 5.3295 4.0926
angles (deg): 90.00 90.00 90.00
Closest atoms and distances in Å follow each position.
Positions (direct):
Te: 0.0000 0.0000 0.0000  2 N 2.05
Au: 0.0000 0.5000 0.0000  2 Te 2.66
Au: 0.5000 0.0000 0.0000  2 Te 2.66
N: 0.0000 0.0000 0.5000  2 Te 2.05
Cl: 0.5000 0.5000 0.5000  8 Au 3.36

# 5
Density functional theory data (GGA-PBE) for crystalline Rb3Cd4Pb2 at its relaxed geometry.

Values from the calculation:
Calculated density, g/cm3: 5.316
V, A^3/atom: 38.9
Polymorph energy (0 for the lowest one), eV/f.u.: 0.00
Magnetization, μB/atom: 0.000
Energy of formation, eV per atom: -0.094

a b c (Å): 5.1695 7.1815 10.5983
angles (deg): 106.22 90.37 111.09
Closest atoms and distances in Å follow each position.
Positions (direct):
Rb: 0.0000 0.0000 0.0000  6 Cd 3.89-3.93, 2 Pb 4.01
Rb: 0.3850 0.7682 0.6307  6 Cd 3.77-3.95, 4 Pb 3.95-4.10
Rb: 0.6150 0.2318 0.3693  6 Cd 3.77-3.95, 4 Pb 3.95-4.10
Cd: 0.0891 0.1789 0.6307  2 Cd 3.07-3.36, 2 Pb 3.11
Cd: 0.2700 0.5384 0.9304  3 Cd 3.08-3.36, 3 Pb 3.11-3.19
Cd: 0.7300 0.4616 0.0696  3 Cd 3.08-3.36, 3 Pb 3.11-3.19
Cd: 0.9108 0.8211 0.3693  2 Cd 3.07-3.36, 2 Pb 3.11
Pb: 0.2936 0.5906 0.2399  5 Cd 3.11-3.19
Pb: 0.7064 0.4094 0.7601  5 Cd 3.11-3.19

# 6
Density functional theory data (GGA-PBE) for crystalline Pr4CuNi2 at its relaxed geometry.

Values from the calculation:
Calculated density, g/cm3: 6.896
V, A^3/atom: 25.6
Magnetization, μB/atom: 0.000
Energy of formation, eV per atom: -0.110

a b c (Å): 9.4493 9.4493 9.4493
angles (deg): 29.34 29.34 29.34
Closest atoms and distances in Å follow each position.
Positions (direct):
Pr: 0.1205 0.1205 0.1205  3 Cu 3.03, 3 Ni 3.04
Pr: 0.2942 0.2942 0.2942  4 Ni 2.92-3.07
Pr: 0.7058 0.7058 0.7058  4 Ni 2.92-3.07
Pr: 0.8795 0.8795 0.8795  3 Cu 3.03, 3 Ni 3.04
Cu: 0.5000 0.5000 0.5000  2 Ni 2.51
Ni: 0.4074 0.4074 0.4074  1 Cu 2.51
Ni: 0.5926 0.5926 0.5926  1 Cu 2.51

# 7
Density functional theory data (GGA-PBE) for crystalline CeThZnSi at its relaxed geometry.

Values from the calculation:
Calculated density, g/cm3: 8.168
Formation energy from raw total energies, eV/f.u.: -1.25
V, A^3/atom: 23.7
Magnetization, μB/atom: 0.306

a b c (Å): 5.1157 5.1157 5.1157
angles (deg): 60.00 60.00 60.00
Closest atoms and distances in Å follow each position.
Positions (direct):
Ce: 0.0000 0.0000 0.0000  4 Zn 3.13, 4 Si 3.13
Th: 0.5000 0.5000 0.5000  4 Zn 3.13, 4 Si 3.13
Zn: 0.7500 0.7500 0.7500  4 Th 3.13, 4 Ce 3.13
Si: 0.2500 0.2500 0.2500  4 Ce 3.13, 4 Th 3.13

# 8
Density functional theory data (GGA-PBE) for crystalline YCoIr2 at its relaxed geometry.

Values from the calculation:
Calculated density, g/cm3: 13.385
V, A^3/atom: 16.5
Polymorph energy (0 for the lowest one), eV/f.u.: 0.34
Magnetization, μB/atom: 0.399
Energy of formation, eV per atom: -0.100

a b c (Å): 2.9181 4.3755 5.3307
angles (deg): 90.00 104.03 90.00
Closest atoms and distances in Å follow each position.
Positions (direct):
Y: 0.0000 0.0000 0.0000  2 Co 2.71, 2 Y 2.92, 4 Ir 2.99
Co: 0.5000 0.0000 0.5000  4 Ir 2.55, 2 Y 2.71
Ir: 0.3523 0.5000 0.7149  2 Co 2.55, 2 Ir 2.64-2.68
Ir: 0.6477 0.5000 0.2851  2 Co 2.55, 2 Ir 2.64-2.68

# 9
Density functional theory data (GGA-PBE) for crystalline PmAlTcO6 at its relaxed geometry.

Values from the calculation:
Calculated density, g/cm3: 5.384
Formation energy from raw total energies, eV/f.u.: -21.25
V, A^3/atom: 12.5
Magnetization, μB/atom: 0.113

a b c (Å): 5.0769 5.0769 10.1140
angles (deg): 90.00 90.00 120.00
Closest atoms and distances in Å follow each position.
Positions (direct):
Pm: 0.0000 0.0000 0.0000  6 O 2.39
Pm: 0.0000 0.0000 0.5000  6 O 2.39
Al: 0.3333 0.6667 0.2500  6 O 1.91
Al: 0.6667 0.3333 0.7500  6 O 1.91
Tc: 0.3333 0.6667 0.7500  6 O 1.94
Tc: 0.6667 0.3333 0.2500  6 O 1.94
O: 0.0034 0.3719 0.1453  1 Al 1.91, 1 Tc 1.94
O: 0.0034 0.6315 0.3547  1 Al 1.91, 1 Tc 1.94
O: 0.3685 0.3719 0.3547  1 Al 1.91, 1 Tc 1.94
O: 0.3685 0.9966 0.1453  1 Al 1.91, 1 Tc 1.94
O: 0.3719 0.0034 0.6453  1 Al 1.91, 1 Tc 1.94
O: 0.3719 0.3685 0.8547  1 Al 1.91, 1 Tc 1.94
O: 0.6281 0.6315 0.1453  1 Al 1.91, 1 Tc 1.94
O: 0.6281 0.9966 0.3547  1 Al 1.91, 1 Tc 1.94
O: 0.6315 0.0034 0.8547  1 Al 1.91, 1 Tc 1.94
O: 0.6315 0.6281 0.6453  1 Al 1.91, 1 Tc 1.94
O: 0.9966 0.3685 0.6453  1 Al 1.91, 1 Tc 1.94
O: 0.9966 0.6281 0.8547  1 Al 1.91, 1 Tc 1.94

# 10
Density functional theory data (GGA-PBE) for crystalline PmErTmAg at its relaxed geometry.

Values from the calculation:
Calculated density, g/cm3: 8.940
V, A^3/atom: 27.4
Polymorph energy (0 for the lowest one), eV/f.u.: 0.96
Magnetization, μB/atom: 0.000
Energy of formation, eV per atom: 0.101

a b c (Å): 5.3686 5.3686 5.3686
angles (deg): 60.00 60.00 60.00
Closest atoms and distances in Å follow each position.
Positions (direct):
Pm: 0.0000 0.0000 0.0000  4 Tm 3.29, 4 Er 3.29
Er: 0.2500 0.2500 0.2500  4 Pm 3.29, 4 Ag 3.29
Tm: 0.7500 0.7500 0.7500  4 Pm 3.29, 4 Ag 3.29
Ag: 0.5000 0.5000 0.5000  4 Tm 3.29, 4 Er 3.29

# 11
Density functional theory data (GGA-PBE) for crystalline NaCe4Pm3Se8 at its relaxed geometry.

Values from the calculation:
Calculated density, g/cm3: 6.498
Formation energy from raw total energies, eV/f.u.: -28.48
V, A^3/atom: 26.4
Magnetization, μB/atom: 0.298

a b c (Å): 8.4350 8.4350 8.4350
angles (deg): 59.72 59.72 59.72
Closest atoms and distances in Å follow each position.
Positions (direct):
Na: 0.0000 0.0000 0.0000  6 Se 2.95
Ce: 0.0000 0.0000 0.5000  6 Se 2.98
Ce: 0.0000 0.5000 0.0000  6 Se 2.98
Ce: 0.5000 0.0000 0.0000  6 Se 2.98
Ce: 0.5000 0.5000 0.5000  6 Se 3.00
Pm: 0.0000 0.5000 0.5000  6 Se 2.97
Pm: 0.5000 0.0000 0.5000  6 Se 2.97
Pm: 0.5000 0.5000 0.0000  6 Se 2.97
Se: 0.2479 0.2479 0.7510  1 Na 2.95, 2 Pm 2.97, 3 Ce 2.98-3.00
Se: 0.2479 0.7510 0.2479  1 Na 2.95, 2 Pm 2.97, 3 Ce 2.98-3.00
Se: 0.2490 0.7521 0.7521  1 Na 2.95, 2 Pm 2.97, 3 Ce 2.98-3.00
Se: 0.2504 0.2504 0.2504  3 Pm 2.97, 3 Ce 2.98
Se: 0.7496 0.7496 0.7496  3 Pm 2.97, 3 Ce 2.98
Se: 0.7510 0.2479 0.2479  1 Na 2.95, 2 Pm 2.97, 3 Ce 2.98-3.00
Se: 0.7521 0.2490 0.7521  1 Na 2.95, 2 Pm 2.97, 3 Ce 2.98-3.00
Se: 0.7521 0.7521 0.2490  1 Na 2.95, 2 Pm 2.97, 3 Ce 2.98-3.00

# 12
Density functional theory data (GGA-PBE) for crystalline Rb3TeSe at its relaxed geometry.

Values from the calculation:
Calculated density, g/cm3: 3.132
Formation energy from raw total energies, eV/f.u.: -4.79
V, A^3/atom: 49.1
Polymorph energy (0 for the lowest one), eV/f.u.: 0.00
Magnetization, μB/atom: 0.000

a b c (Å): 6.2678 8.5858 10.2059
angles (deg): 109.65 105.40 94.04
Closest atoms and distances in Å follow each position.
Positions (direct):
Rb: 0.0716 0.2378 0.4855  3 Se 3.40-3.57, 1 Te 3.66
Rb: 0.3192 0.5564 0.1813  2 Se 3.55-3.59, 3 Te 3.72-3.94
Rb: 0.3297 0.0222 0.1381  1 Se 3.42, 3 Te 3.62-3.72
Rb: 0.6703 0.9778 0.8619  1 Se 3.42, 3 Te 3.62-3.72
Rb: 0.6808 0.4436 0.8187  2 Se 3.55-3.59, 3 Te 3.72-3.94
Rb: 0.9284 0.7622 0.5145  3 Se 3.40-3.57, 1 Te 3.66
Te: 0.1729 0.1829 0.8360  8 Rb 3.62-3.94
Te: 0.8271 0.8171 0.1640  8 Rb 3.62-3.94
Se: 0.4268 0.6213 0.5607  1 Se 2.42
Se: 0.5732 0.3787 0.4393  1 Se 2.42

# 13
Density functional theory data (GGA-PBE) for crystalline Li2Ga3Ag4 at its relaxed geometry.

Values from the calculation:
Calculated density, g/cm3: 7.191
V, A^3/atom: 16.8
Polymorph energy (0 for the lowest one), eV/f.u.: 0.49
Magnetization, μB/atom: 0.000
Energy of formation, eV per atom: -0.127

a b c (Å): 8.1268 8.1268 4.8359
angles (deg): 96.58 96.58 72.97
Closest atoms and distances in Å follow each position.
Positions (direct):
Li: 0.0916 0.3484 0.3660  4 Ag 2.69-2.82, 5 Ga 2.74-2.90, 1 Li 2.74
Li: 0.3484 0.0916 0.8660  4 Ag 2.69-2.82, 5 Ga 2.74-2.90, 1 Li 2.74
Li: 0.6516 0.9084 0.1340  4 Ag 2.69-2.82, 5 Ga 2.74-2.90, 1 Li 2.74
Li: 0.9084 0.6516 0.6340  4 Ag 2.69-2.82, 5 Ga 2.74-2.90, 1 Li 2.74
Ga: 0.1304 0.8696 0.7500  8 Ag 2.78-2.94, 2 Li 2.85
Ga: 0.2058 0.4585 0.9286  6 Ag 2.74-3.02, 4 Li 2.74-2.90
Ga: 0.4585 0.2058 0.4286  6 Ag 2.74-3.02, 4 Li 2.74-2.90
Ga: 0.5415 0.7942 0.5714  6 Ag 2.74-3.02, 4 Li 2.74-2.90
Ga: 0.7942 0.5415 0.0714  6 Ag 2.74-3.02, 4 Li 2.74-2.90
Ga: 0.8696 0.1304 0.2500  8 Ag 2.78-2.94, 2 Li 2.85
Ag: 0.0040 0.2303 0.8141  3 Li 2.69-2.82, 5 Ga 2.78-2.94, 1 Ag 2.91
Ag: 0.2303 0.0040 0.3141  3 Li 2.69-2.82, 5 Ga 2.78-2.94, 1 Ag 2.91
Ag: 0.3085 0.5602 0.4729  5 Ga 2.74-3.02, 1 Li 2.78, 4 Ag 2.91-2.97
Ag: 0.4398 0.6915 0.0271  5 Ga 2.74-3.02, 1 Li 2.78, 4 Ag 2.91-2.97
Ag: 0.5602 0.3085 0.9729  5 Ga 2.74-3.02, 1 Li 2.78, 4 Ag 2.91-2.97
Ag: 0.6915 0.4398 0.5271  5 Ga 2.74-3.02, 1 Li 2.78, 4 Ag 2.91-2.97
Ag: 0.7697 0.9960 0.6859  3 Li 2.69-2.82, 5 Ga 2.78-2.94, 1 Ag 2.91
Ag: 0.9960 0.7697 0.1859  3 Li 2.69-2.82, 5 Ga 2.78-2.94, 1 Ag 2.91

# 14
Density functional theory data (GGA-PBE) for crystalline MgAgI2Br at its relaxed geometry.

Values from the calculation:
Calculated density, g/cm3: 4.472
Formation energy from raw total energies, eV/f.u.: -0.52
V, A^3/atom: 34.6
Magnetization, μB/atom: 0.000

a b c (Å): 5.7518 5.7518 5.2292
angles (deg): 90.00 90.00 90.00
Closest atoms and distances in Å follow each position.
Positions (direct):
Mg: 0.0000 0.0000 0.0000  8 I 3.89, 4 Br 4.07
Ag: 0.5000 0.5000 0.5000  2 Br 2.61, 4 I 2.88
I: 0.0000 0.5000 0.5000  2 Ag 2.88
I: 0.5000 0.0000 0.5000  2 Ag 2.88
Br: 0.5000 0.5000 0.0000  2 Ag 2.61

# 15
Density functional theory data (GGA-PBE) for crystalline ReAs2OsBr at its relaxed geometry.

Values from the calculation:
Calculated density, g/cm3: 8.551
Formation energy from raw total energies, eV/f.u.: 7.86
V, A^3/atom: 23.5
Polymorph energy (0 for the lowest one), eV/f.u.: 0.00
Magnetization, μB/atom: 0.816

a b c (Å): 4.7509 4.7509 5.2156
angles (deg): 90.00 90.00 90.00
Closest atoms and distances in Å follow each position.
Positions (direct):
Re: 0.0000 0.0000 0.0000  4 Br 3.36, 8 As 3.53
As: 0.0000 0.5000 0.5000  2 Os 2.38
As: 0.5000 0.0000 0.5000  2 Os 2.38
Os: 0.5000 0.5000 0.5000  4 As 2.38, 2 Br 2.61
Br: 0.5000 0.5000 0.0000  2 Os 2.61

# 16
Density functional theory data (GGA-PBE) for crystalline TbMg2H6 at its relaxed geometry.

Values from the calculation:
Calculated density, g/cm3: 3.261
V, A^3/atom: 12.1
Magnetization, μB/atom: 0.000
DFT total energy, eV/atom: -2.811

a b c (Å): 5.3580 5.3580 5.3580
angles (deg): 60.00 60.00 60.00
Closest atoms and distances in Å follow each position.
Positions (direct):
Tb: 0.0000 0.0000 0.0000  6 H 2.09
Mg: 0.2500 0.2500 0.2500  12 H 2.69
Mg: 0.7500 0.7500 0.7500  12 H 2.69
H: 0.2759 0.2759 0.7241  1 Tb 2.09
H: 0.2759 0.7241 0.2759  1 Tb 2.09
H: 0.2759 0.7241 0.7241  1 Tb 2.09
H: 0.7241 0.2759 0.2759  1 Tb 2.09
H: 0.7241 0.2759 0.7241  1 Tb 2.09
H: 0.7241 0.7241 0.2759  1 Tb 2.09